Run w
CoNi2Ir | SCAN | PBEsol geometry

a b c (Å): 3.5501 3.5501 3.6286
angles (deg): 90.00 90.00 90.00
Last column: nearest neighbours and their distance in Å.
Sites, in units of the cell vectors:
Ni (0.0000, 0.5000, 0.0000)  4 Ni 2.51, 4 Co 2.54, 4 Ir 2.54
Ni (0.5000, 0.0000, 0.0000)  4 Ni 2.51, 4 Co 2.54, 4 Ir 2.54
Ir (0.0000, 0.0000, 0.5000)  4 Co 2.51, 8 Ni 2.54
Co (0.5000, 0.5000, 0.5000)  4 Ir 2.51, 8 Ni 2.54

The calculation puts the density of states at the Fermi level at 0.772 states/eV per atom.

***

Run x
CoNi2Ir | SCAN | PBEsol geometry

a b c (Å): 2.5745 2.5745 8.2386
angles (deg): 81.01 81.01 60.00
Last column: nearest neighbours and their distance in Å.
Sites, in units of the cell vectors:
Ni (0.0032, 0.0032, 0.9903)  9 Ni 2.46-2.57, 3 Ir 2.59
Ni (0.7507, 0.7507, 0.7480)  3 Co 2.44, 9 Ni 2.46-2.57
Ir (0.2494, 0.2494, 0.2518)  3 Co 2.57, 6 Ir 2.57, 3 Ni 2.59
Co (0.4967, 0.4967, 0.5098)  3 Ni 2.44, 3 Ir 2.57, 6 Co 2.57

The calculation puts the density of states at the Fermi level at 1.121 states/eV per atom.

***

Looking at the structures above, run w is most stable, and the difference to the next one is 0.069 eV/atom.